Record 1
Below is an optimized crystal structure of SrYIBr2, with properties calculated at the PBE level.

Cell: 5.443 5.443 7.779 Å, 90.00 90.00 90.00°
Space group P4/mmm (No. 123)
Symmetry-distinct sites (fractional):
Sr (0.000, 0.000, 0.000) [1 per cell]
Y (0.000, 0.000, 0.500) [1 per cell]
I (0.500, 0.500, 0.000) [1 per cell]
Br (0.000, 0.500, 0.500) [2 per cell]

The calculation puts the total DFT energy (no corrections) at -3.7807 eV/atom.

---

Record 2
Below is an optimized crystal structure of PuPbSe3, with properties calculated at the PBE level.

Cell: 13.657 5.407 8.792 Å, 90.00 100.48 90.00°
Space group C2/m (No. 12)
Symmetry-distinct sites (fractional):
Pu (0.134, 0.000, 0.414) [4 per cell]
Pb (0.131, 0.500, 0.889) [4 per cell]
Se (0.071, 0.000, 0.701) [4 per cell]
Se (0.163, 0.000, 0.103) [4 per cell]
Se (0.163, 0.500, 0.440) [4 per cell]

The calculation puts the total DFT energy (no corrections) at -6.5574 eV/atom.

---

Record 3
Below is an optimized crystal structure of Be2Si, with properties calculated at the PBE level.

Cell: 3.526 3.526 10.830 Å, 90.00 90.00 90.00°
Space group I4_1/amd (No. 141, origin choice 2)
Symmetry-distinct sites (fractional):
Be (0.000, 0.250, 0.282) [8 per cell]
Si (0.000, 0.250, 0.875) [4 per cell]

Its energy above the lowest structure with this stoichiometry is 504.8 meV per atom.

---

Record 4
Below is an optimized crystal structure of Ca2Zn3HgAu4, with properties calculated at the PBE level.

Cell: 4.467 4.467 10.960 Å, 90.00 90.00 90.00°
Space group P-4m2 (No. 115)
Symmetry-distinct sites (fractional):
Ca (0.000, 0.500, 0.239) [2 per cell]
Zn (0.000, 0.500, 0.879) [2 per cell]
Zn (0.500, 0.500, 0.500) [1 per cell]
Hg (0.000, 0.000, 0.500) [1 per cell]
Au (0.000, 0.000, 0.000) [1 per cell]
Au (0.000, 0.500, 0.652) [2 per cell]
Au (0.500, 0.500, 0.000) [1 per cell]

As for the energy of formation: -438.1 meV/atom.

---

Record 5
Below is an optimized crystal structure of TiSnOs2, with properties calculated at the PBE level.

Cell: 8.852 3.981 8.207 Å, 90.00 101.38 90.00°
Space group Cm (No. 8)
Symmetry-distinct sites (fractional):
Ti (0.000, 0.000, 0.000) [2 per cell]
Ti (0.240, 0.500, 0.623) [2 per cell]
Sn (0.146, 0.500, 0.247) [2 per cell]
Sn (0.423, 0.000, 0.475) [2 per cell]
Os (0.049, 0.000, 0.703) [2 per cell]
Os (0.188, 0.500, 0.919) [2 per cell]
Os (0.314, 0.000, 0.128) [2 per cell]
Os (0.363, 0.000, 0.812) [2 per cell]

As for the energy of formation: -62.9 meV/atom.

---

Record 6
Below is an optimized crystal structure of CdTeMoPb2, with properties calculated at the PBE level.

Cell: 6.047 6.047 5.448 Å, 90.00 90.00 90.00°
Space group P4/mmm (No. 123)
Symmetry-distinct sites (fractional):
Cd (0.000, 0.000, 0.000) [1 per cell]
Te (0.000, 0.000, 0.500) [1 per cell]
Mo (0.500, 0.500, 0.000) [1 per cell]
Pb (0.000, 0.500, 0.500) [2 per cell]

The calculation puts the total DFT energy (no corrections) at -3.1844 eV/atom.

---

| no. | V (A^3/atom) |
| --- | --- |
| 1 | 46.1 |
| 2 | 31.9 |
| 3 | 11.2 |
| 4 | 21.9 |
| 5 | 17.7 |
| 6 | 39.8 |